[1]
Below is an optimized crystal structure of HoZr2Co, with properties calculated at the PBE level.

The calculation puts the density of states at the Fermi level at 3.7 states/eV/f.u. Its mass density is 7.3 g/cm3. As for the energy of formation: 48 meV per atom. The value obtained for the calculated volume is 276.9 Å³/cell. Its total energy is -28.6 eV/f.u. The value obtained for the excess energy over the best structure of this formula in the dataset is 0.2056 eV/atom. The total magnetization comes out at 0.0000 μB per atom.

The structure belongs to space group R3m (No. 160, hexagonal axes); the cell edges are 4.0745, 4.0745 and 19.2611 Å and the angles 90.00°, 90.00° and 120.00°. The inequivalent atoms are Ho at (0.0000, 0.0000, 0.0000), Zr at (0.0000, 0.0000, 0.5558), Zr at (0.0000, 0.0000, 0.7832) and Co at (0.0000, 0.0000, 0.1745).

=====

[2]
Below is an optimized crystal structure of HoZr2Co, with properties calculated at the PBE level.

The calculation puts the density of states at the Fermi level at 6.4 states/eV/f.u. Its mass density is 8.0 g/cm3. As for the energy of formation: -14 meV per atom. The value obtained for the calculated volume is 84.6 Å³/cell. Its total energy is -28.8 eV/f.u. The value obtained for the excess energy over the best structure of this formula in the dataset is 0.1435 eV/atom. The total magnetization comes out at 0.3635 μB per atom.

The structure belongs to space group P4/mmm (No. 123); the cell edges are 3.259, 3.259 and 7.966 Å and the angles 90.00°, 90.00° and 90.00°. The inequivalent atoms are Ho at (0.000, 0.000, 0.000), Zr at (0.500, 0.500, 0.304) and Co at (0.000, 0.000, 0.500).

=====

[3]
Below is an optimized crystal structure of HoZrCo2, with properties calculated at the PBE level.

The calculation puts the density of states at the Fermi level at 3.0 states/eV/f.u. Its mass density is 9.0 g/cm3. As for the energy of formation: -250 meV per atom. The value obtained for the calculated volume is 68.8 Å³/cell. Its total energy is -28.3 eV/f.u. The value obtained for the excess energy over the best structure of this formula in the dataset is 0.0000 eV/atom. The total magnetization comes out at 0.0852 μB per atom.

The structure belongs to space group P4/mmm (No. 123); the cell edges are 3.234, 3.234 and 6.577 Å and the angles 90.00°, 90.00° and 90.00°. The inequivalent atoms are Ho at (0.000, 0.000, 0.000), Zr at (0.000, 0.000, 0.500) and Co at (0.500, 0.500, 0.276).

=====

[4]
Below is an optimized crystal structure of Ho3ZrCo4, with properties calculated at the PBE level.

The calculation puts the density of states at the Fermi level at 2.3 states/eV/f.u. Its mass density is 9.6 g/cm3. As for the energy of formation: -217 meV per atom. The value obtained for the calculated volume is 142.5 Å³/cell. Its total energy is -52.4 eV/f.u. The total magnetization comes out at 0.1875 μB per atom.

The structure belongs to space group P4/mmm (No. 123); the cell edges are 3.285, 3.285 and 13.203 Å and the angles 90.00°, 90.00° and 90.00°. The inequivalent atoms are Ho at (0.000, 0.000, 0.000), Ho at (0.000, 0.000, 0.252), Zr at (0.000, 0.000, 0.500), Co at (0.500, 0.500, 0.128) and Co at (0.500, 0.500, 0.390).

=====

[5]
Below is an optimized crystal structure of HoZrCo, with properties calculated at the PBE level.

The calculation puts the density of states at the Fermi level at 3.3 states/eV/f.u. Its mass density is 7.8 g/cm3. As for the energy of formation: -69 meV per atom. The value obtained for the calculated volume is 268.5 Å³/cell. Its total energy is -20.4 eV/f.u. The value obtained for the excess energy over the best structure of this formula in the dataset is 0.0922 eV/atom. The total magnetization comes out at 0.0000 μB per atom.

The structure belongs to space group P2_1/c (No. 14); the cell edges are 6.464, 5.812 and 9.003 Å and the angles 90.00°, 127.45° and 90.00°. The inequivalent atoms are Ho at (0.188, 0.134, 0.390), Zr at (0.328, 0.627, 0.628) and Co at (0.338, 0.644, 0.358).

=====

[6]
Below is an optimized crystal structure of HoZr2Co, with properties calculated at the PBE level.

The calculation puts the density of states at the Fermi level at 4.6 states/eV/f.u. Its mass density is 8.3 g/cm3. As for the energy of formation: 253 meV per atom. The value obtained for the calculated volume is 323.7 Å³/cell. Its total energy is -27.8 eV/f.u. The value obtained for the excess energy over the best structure of this formula in the dataset is 0.4105 eV/atom. The total magnetization comes out at 0.2642 μB per atom.

The structure belongs to space group Fm-3m (No. 225); the cell edges are 6.866, 6.866 and 6.866 Å and the angles 90.00°, 90.00° and 90.00°. The inequivalent atoms are Ho at (0.000, 0.000, 0.000), Zr at (0.250, 0.250, 0.250) and Co at (0.000, 0.000, 0.500).

=====

[7]
Below is an optimized crystal structure of CoI2, with properties calculated at the PBE level.

For the uncorrected formation energy, the calculation gives 0.04 eV per atom. The calculation puts the density of states at the Fermi level at 8.4 states/eV/f.u. Its mass density is 5.3 g/cm3. The value obtained for the calculated volume is 98.6 Å³/cell. Its total energy is -10.1 eV/f.u. The total magnetization comes out at 0.8786 μB per atom.

The structure belongs to space group P-3m1 (No. 164); the cell edges are 3.9460, 3.9460 and 7.3111 Å and the angles 90.00°, 90.00° and 120.00°. The inequivalent atoms are Co at (0.0000, 0.0000, 0.0000) and I at (0.3333, 0.6667, 0.2113).

=====

[8]
Below is an optimized crystal structure of Co3I, with properties calculated at the PBE level.

For the uncorrected formation energy, the calculation gives 0.75 eV per atom. The calculation puts the density of states at the Fermi level at 3.8 states/eV/f.u. Its mass density is 9.3 g/cm3. The value obtained for the calculated volume is 108.1 Å³/cell. Its total energy is -19.9 eV/f.u. The value obtained for the excess energy over the best structure of this formula in the dataset is 0.0917 eV/atom. The total magnetization comes out at 0.9454 μB per atom.

The structure belongs to space group I4/mmm (No. 139); the cell edges are 3.830, 3.830 and 7.371 Å and the angles 90.00°, 90.00° and 90.00°. The inequivalent atoms are Co at (0.000, 0.000, 0.000), Co at (0.000, 0.500, 0.250) and I at (0.000, 0.000, 0.500).

=====

[9]
Below is an optimized crystal structure of Co3I, with properties calculated at the PBE level.

For the uncorrected formation energy, the calculation gives 0.66 eV per atom. The calculation puts the density of states at the Fermi level at 6.3 states/eV/f.u. Its mass density is 7.4 g/cm3. The value obtained for the calculated volume is 136.4 Å³/cell. Its total energy is -20.2 eV/f.u. The value obtained for the excess energy over the best structure of this formula in the dataset is 0.0000 eV/atom. The total magnetization comes out at 1.3134 μB per atom.

The structure belongs to space group P6_3/mmc (No. 194); the cell edges are 6.3821, 6.3821 and 3.8659 Å and the angles 90.00°, 90.00° and 120.00°. The inequivalent atoms are Co at (0.1271, 0.2542, 0.2500) and I at (0.3333, 0.6667, 0.7500).

=====

[10]
Below is an optimized crystal structure of In4CoI2, with properties calculated at the PBE level.

For the uncorrected formation energy, the calculation gives -0.16 eV per atom. The calculation puts the density of states at the Fermi level at 4.1 states/eV/f.u. Its mass density is 5.9 g/cm3. The value obtained for the calculated volume is 437.4 Å³/cell. Its total energy is -22.3 eV/f.u. The total magnetization comes out at 0.0002 μB per atom.

The structure belongs to space group I4/mmm (No. 139); the cell edges are 5.004, 5.004 and 17.469 Å and the angles 90.00°, 90.00° and 90.00°. The inequivalent atoms are In at (0.000, 0.000, 0.143), In at (0.000, 0.500, 0.000), Co at (0.000, 0.000, 0.000) and I at (0.000, 0.000, 0.321).

=====

[11]
Below is an optimized crystal structure of InCo2I, with properties calculated at the PBE level.

For the uncorrected formation energy, the calculation gives 0.74 eV per atom. The calculation puts the density of states at the Fermi level at 5.3 states/eV/f.u. Its mass density is 8.6 g/cm3. The value obtained for the calculated volume is 277.1 Å³/cell. Its total energy is -15.5 eV/f.u. The value obtained for the excess energy over the best structure of this formula in the dataset is 0.0190 eV/atom. The total magnetization comes out at 0.4867 μB per atom.

The structure belongs to space group Fm-3m (No. 225); the cell edges are 6.520, 6.520 and 6.520 Å and the angles 90.00°, 90.00° and 90.00°. The inequivalent atoms are In at (0.000, 0.000, 0.000), Co at (0.250, 0.250, 0.250) and I at (0.000, 0.000, 0.500).

=====

[12]
Below is an optimized crystal structure of InCoI3, with properties calculated at the PBE level.

For the uncorrected formation energy, the calculation gives -0.02 eV per atom. The calculation puts the density of states at the Fermi level at 9.3 states/eV/f.u. Its mass density is 5.7 g/cm3. The value obtained for the calculated volume is 161.7 Å³/cell. Its total energy is -14.6 eV/f.u. The value obtained for the excess energy over the best structure of this formula in the dataset is 0.0000 eV/atom. The total magnetization comes out at 0.3822 μB per atom.

The structure belongs to space group Pm-3m (No. 221); the cell edges are 5.448, 5.448 and 5.448 Å and the angles 90.00°, 90.00° and 90.00°. The inequivalent atoms are In at (0.000, 0.000, 0.000), Co at (0.500, 0.500, 0.500) and I at (0.000, 0.500, 0.500).